The following is a DFT calculation (PBE-GGA) of an optimized crystal structure of CsCaTeSe.

POSCAR file:
```
CsCaTeSe
1.0
5.598 0.000 0.000
0.000 5.565 0.000
-1.527 0.000 5.800
Cs Ca Te Se
1 1 1 1
direct
0.000 0.000 0.000
0.500 0.500 0.500
0.500 0.500 0.000
0.000 0.500 0.500
```

Output
N(E_F) = 0.3 states/eV per cell
ΔE_f (raw) = -1.0735 eV per atom
Space group = P2/m (10)

***

The following is a DFT calculation (PBE-GGA) of an optimized crystal structure of Cs2CaThSe4.

POSCAR file:
```
Cs2CaThSe4
1.0
7.587 0.000 0.000
0.000 4.437 0.000
-2.573 0.000 8.366
Cs Ca Th Se
2 1 1 4
direct
0.000 0.000 0.000
0.500 0.500 0.000
0.000 0.500 0.500
0.500 0.000 0.500
0.241 0.000 0.686
0.279 0.500 0.311
0.721 0.500 0.689
0.759 0.000 0.314
```

Output
N(E_F) = 0.0 states/eV per cell
ΔE_f (raw) = -1.6801 eV per atom
Space group = P2/m (10)

***

The following is a DFT calculation (PBE-GGA) of an optimized crystal structure of Cs3Ca2USe6.

POSCAR file:
```
Cs3Ca2USe6
1.0
3.759 -6.505 0.000
3.759 6.505 0.000
-2.490 0.000 8.326
Cs Ca U Se
3 2 1 6
direct
0.000 0.000 0.000
0.327 0.673 0.000
0.673 0.327 0.000
0.166 0.834 0.500
0.834 0.166 0.500
0.500 0.500 0.500
0.128 0.438 0.316
0.253 0.253 0.688
0.438 0.128 0.316
0.562 0.872 0.684
0.747 0.747 0.312
0.872 0.562 0.684
```

Output
N(E_F) = 0.1 states/eV per cell
ΔE_f (raw) = -1.5103 eV per atom
Space group = C2/m (12)

***

The following is a DFT calculation (PBE-GGA) of an optimized crystal structure of Cs2CaUSe6.

POSCAR file:
```
Cs2CaUSe6
1.0
0.000 5.582 5.582
5.582 0.000 5.582
5.582 5.582 0.000
Cs Ca U Se
2 1 1 6
direct
0.250 0.250 0.250
0.750 0.750 0.750
0.000 0.000 0.000
0.500 0.500 0.500
0.261 0.261 0.739
0.261 0.739 0.261
0.261 0.739 0.739
0.739 0.261 0.261
0.739 0.261 0.739
0.739 0.739 0.261
```

Output
N(E_F) = 8.7 states/eV per cell
ΔE_f (raw) = -1.1314 eV per atom
Space group = Fm-3m (225)

***

The following is a DFT calculation (PBE-GGA) of an optimized crystal structure of Cs3CaU3Se8.

POSCAR file:
```
Cs3CaU3Se8
1.0
4.255 2.456 8.476
-4.255 2.456 8.476
0.000 -4.913 8.476
Cs Ca U Se
3 1 3 8
direct
0.000 0.500 0.500
0.500 0.000 0.500
0.500 0.500 0.000
0.500 0.500 0.500
0.000 0.000 0.500
0.000 0.500 0.000
0.500 0.000 0.000
0.215 0.734 0.734
0.228 0.228 0.228
0.266 0.266 0.785
0.266 0.785 0.266
0.734 0.215 0.734
0.734 0.734 0.215
0.772 0.772 0.772
0.785 0.266 0.266
```

Output
N(E_F) = 12.3 states/eV per cell
ΔE_f (raw) = -1.3547 eV per atom
Space group = R-3m (166)

***

The following is a DFT calculation (PBE-GGA) of an optimized crystal structure of CsCaVSe4.

POSCAR file:
```
CsCaVSe4
1.0
6.762 0.000 0.000
0.000 7.183 0.000
-3.154 0.000 9.383
Cs Ca V Se
2 2 2 8
direct
0.235 0.250 0.434
0.765 0.750 0.566
0.277 0.250 0.958
0.723 0.750 0.042
0.290 0.750 0.167
0.710 0.250 0.833
0.089 0.750 0.315
0.091 0.750 0.935
0.488 0.503 0.792
0.488 0.997 0.792
0.512 0.003 0.208
0.512 0.497 0.208
0.909 0.250 0.065
0.911 0.250 0.685
```

Output
ΔE_f (raw) = -1.1979 eV per atom
Space group = P2_1/m (11)

***

The following is a DFT calculation (PBE-GGA) of an optimized crystal structure of CsCa2Si2.

POSCAR file:
```
CsCa2Si2
1.0
9.323 0.000 0.000
0.000 9.323 0.000
0.000 0.000 3.296
Cs Ca Si
2 4 4
direct
0.000 0.000 0.000
0.500 0.500 0.000
0.129 0.371 0.000
0.371 0.871 0.000
0.629 0.129 0.000
0.871 0.629 0.000
0.165 0.665 0.500
0.335 0.165 0.500
0.665 0.835 0.500
0.835 0.335 0.500
```

Output
N(E_F) = 5.3 states/eV per cell
ΔE_f (raw) = -0.0537 eV per atom
Space group = P4/mbm (127)

***

The following is a DFT calculation (PBE-GGA) of an optimized crystal structure of Cs2Ca2Si.

POSCAR file:
```
Cs2Ca2Si
1.0
-2.305 2.305 10.748
2.305 -2.305 10.748
2.305 2.305 -10.748
Cs Ca Si
2 2 1
direct
0.250 0.750 0.500
0.750 0.250 0.500
0.073 0.073 0.000
0.927 0.927 0.000
0.500 0.500 0.000
```

Output
N(E_F) = 3.8 states/eV per cell
ΔE_f (raw) = 0.6985 eV per atom
Space group = I4/mmm (139)

***

The following is a DFT calculation (PBE-GGA) of an optimized crystal structure of Cs2CaSi.

POSCAR file:
```
Cs2CaSi
1.0
0.000 4.482 4.482
4.482 0.000 4.482
4.482 4.482 0.000
Cs Ca Si
2 1 1
direct
0.250 0.250 0.250
0.750 0.750 0.750
0.000 0.000 0.000
0.500 0.500 0.500
```

Output
N(E_F) = 2.0 states/eV per cell
ΔE_f (raw) = 0.6045 eV per atom
Space group = Fm-3m (225)

***

The following is a DFT calculation (PBE-GGA) of an optimized crystal structure of Cs2CaSi.

POSCAR file:
```
Cs2CaSi
1.0
-6.981 6.981 2.849
6.981 -6.981 2.849
6.981 6.981 -2.849
Cs Ca Si
4 2 2
direct
0.375 0.035 0.160
0.785 0.625 0.660
0.875 0.215 0.840
0.965 0.125 0.340
0.250 0.750 0.500
0.500 0.500 0.000
0.000 0.000 0.000
0.750 0.250 0.500
```

Output
N(E_F) = 7.2 states/eV per cell
ΔE_f (raw) = 0.2384 eV per atom
Space group = I-42d (122)

***

The following is a DFT calculation (PBE-GGA) of an optimized crystal structure of CsCa2Si2.

POSCAR file:
```
CsCa2Si2
1.0
8.677 0.000 0.000
0.000 8.677 0.000
0.000 0.000 4.215
Cs Ca Si
2 4 4
direct
0.000 0.000 0.000
0.500 0.500 0.000
0.156 0.344 0.500
0.344 0.844 0.500
0.656 0.156 0.500
0.844 0.656 0.500
0.099 0.599 0.000
0.401 0.099 0.000
0.599 0.901 0.000
0.901 0.401 0.000
```

Output
N(E_F) = 5.7 states/eV per cell
ΔE_f (raw) = -0.0091 eV per atom
Space group = P4/mbm (127)

***

The following is a DFT calculation (PBE-GGA) of an optimized crystal structure of CsCaSi.

POSCAR file:
```
CsCaSi
1.0
4.056 0.000 0.000
-2.028 5.095 0.000
-1.510 -1.582 14.416
Cs Ca Si
2 2 2
direct
0.000 0.000 0.000
0.446 0.386 0.667
0.580 0.850 0.416
0.811 0.446 0.237
0.123 0.034 0.286
0.506 0.864 0.198
```

Output
N(E_F) = 3.6 states/eV per cell
ΔE_f (raw) = -0.0898 eV per atom
Space group = P1 (1)

***

The following is a DFT calculation (PBE-GGA) of an optimized crystal structure of CsCaSi.

POSCAR file:
```
CsCaSi
1.0
4.487 0.000 0.000
2.243 5.127 0.000
2.124 -0.512 12.593
Cs Ca Si
2 2 2
direct
0.022 0.251 0.188
0.978 0.749 0.812
0.179 0.712 0.426
0.821 0.288 0.574
0.487 0.106 0.416
0.513 0.894 0.584
```

Output
N(E_F) = 2.6 states/eV per cell
ΔE_f (raw) = -0.1536 eV per atom
Space group = P-1 (2)

***

The following is a DFT calculation (PBE-GGA) of an optimized crystal structure of CsCaSi.

POSCAR file:
```
CsCaSi
1.0
3.584 -4.646 0.000
3.584 4.646 0.000
-1.643 0.000 7.504
Cs Ca Si
2 2 2
direct
0.233 0.233 0.437
0.767 0.767 0.563
0.296 0.704 0.000
0.704 0.296 0.000
0.154 0.154 0.951
0.846 0.846 0.049
```

Output
N(E_F) = 3.4 states/eV per cell
ΔE_f (raw) = -0.0657 eV per atom
Space group = C2/m (12)

***

The following is a DFT calculation (PBE-GGA) of an optimized crystal structure of CsCa2Si2.

POSCAR file:
```
CsCa2Si2
1.0
-2.723 2.723 5.345
2.723 -2.723 5.345
2.723 2.723 -5.345
Cs Ca Si
1 2 2
direct
0.000 0.000 0.000
0.250 0.750 0.500
0.750 0.250 0.500
0.389 0.389 0.000
0.611 0.611 0.000
```

Output
N(E_F) = 6.4 states/eV per cell
ΔE_f (raw) = -0.1057 eV per atom
Space group = I4/mmm (139)

***

The following is a DFT calculation (PBE-GGA) of an optimized crystal structure of CsCaSi.

POSCAR file:
```
CsCaSi
1.0
4.516 -3.473 0.000
4.516 3.473 0.000
-1.296 0.000 10.683
Cs Ca Si
2 2 2
direct
0.000 0.000 0.000
0.582 0.582 0.387
0.409 0.409 0.737
0.998 0.998 0.650
0.541 0.877 0.722
0.877 0.541 0.722
```

Output
N(E_F) = 4.0 states/eV per cell
ΔE_f (raw) = -0.0839 eV per atom
Space group = Cm (8)

***

The following is a DFT calculation (PBE-GGA) of an optimized crystal structure of CsCaSi.

POSCAR file:
```
CsCaSi
1.0
4.358 0.000 0.000
-0.016 7.816 0.000
-2.171 -3.662 7.540
Cs Ca Si
2 2 2
direct
0.223 0.228 0.446
0.777 0.772 0.554
0.497 0.275 0.995
0.503 0.725 0.005
0.079 0.572 0.159
0.921 0.428 0.841
```

Output
N(E_F) = 6.2 states/eV per cell
ΔE_f (raw) = -0.0378 eV per atom
Space group = P-1 (2)

***

The following is a DFT calculation (PBE-GGA) of an optimized crystal structure of CsCaSi.

POSCAR file:
```
CsCaSi
1.0
4.388 -2.535 0.000
4.388 2.535 0.000
-3.099 0.000 12.738
Cs Ca Si
2 2 2
direct
0.000 0.000 0.000
0.211 0.211 0.595
0.110 0.110 0.311
0.432 0.432 0.277
0.737 0.737 0.199
0.805 0.805 0.391
```

Output
N(E_F) = 2.6 states/eV per cell
ΔE_f (raw) = -0.0547 eV per atom
Space group = Cm (8)

***

The following is a DFT calculation (PBE-GGA) of an optimized crystal structure of Cs3CaSm2Te6.

POSCAR file:
```
Cs3CaSm2Te6
1.0
4.007 -6.939 0.000
4.007 6.939 0.000
-2.672 0.000 8.998
Cs Ca Sm Te
3 1 2 6
direct
0.000 0.000 0.000
0.335 0.665 0.000
0.665 0.335 0.000
0.500 0.500 0.500
0.167 0.833 0.500
0.833 0.167 0.500
0.096 0.435 0.306
0.225 0.225 0.693
0.435 0.096 0.306
0.565 0.904 0.694
0.775 0.775 0.307
0.904 0.565 0.694
```

Output
N(E_F) = 8.8 states/eV per cell
ΔE_f (raw) = -1.3055 eV per atom
Space group = C2/m (12)

***

The following is a DFT calculation (PBE-GGA) of an optimized crystal structure of CsCaSn.

POSCAR file:
```
CsCaSn
1.0
-2.138 2.138 15.416
2.138 -2.138 15.416
2.138 2.138 -15.416
Cs Ca Sn
2 2 2
direct
0.086 0.086 0.000
0.914 0.914 0.000
0.214 0.214 0.000
0.786 0.786 0.000
0.328 0.328 0.000
0.672 0.672 0.000
```

Output
N(E_F) = 4.1 states/eV per cell
Energy of formation from the pure elements = -0.97 eV/f.u.
Space group = I4/mmm (139)